A plane-wave DFT calculation with GGA+U was carried out for crystalline Be2NiSeO6 at its relaxed geometry.

Geometry as POSCAR:
```
Be2NiSeO6
1.0
4.7828 -4.1214 0.0000
4.7828 4.1214 0.0000
-2.0596 0.0000 4.8936
Be Ni Se O
4 2 2 12
direct
0.1262 0.2710 0.1358
0.2710 0.1262 0.6358
0.7290 0.8738 0.3642
0.8738 0.7290 0.8642
0.4054 0.5946 0.7500
0.5946 0.4054 0.2500
0.2271 0.7729 0.2500
0.7729 0.2271 0.7500
0.0768 0.2190 0.7975
0.1373 0.6786 0.8904
0.2190 0.0768 0.2975
0.2803 0.4819 0.3107
0.3214 0.8627 0.6096
0.4819 0.2803 0.8107
0.5181 0.7197 0.1893
0.6786 0.1373 0.3904
0.7197 0.5181 0.6893
0.7810 0.9232 0.7025
0.8627 0.3214 0.1096
0.9232 0.7810 0.2025
```

Calculated values
VASP energy   -115.94 eV for the cell shown
Theoretical density   4.332 g/cm3
Spin magnetization   3.976 μB/cell
SG   C2/c (15)